No. 1
# PaHgS2I2, relaxed, DFT PBE
data_PaHgS2I2
_symmetry_space_group_name_H-M 'I b a m'
_symmetry_Int_Tables_number 72
_symmetry_space_group_name_Hall '-I 2 2c'
_cell_length_a 6.8875
_cell_length_b 15.5166
_cell_length_c 7.4269
_cell_angle_alpha 90.00
_cell_angle_beta 90.00
_cell_angle_gamma 90.00
loop_
_atom_site_label
_atom_site_fract_x
_atom_site_fract_y
_atom_site_fract_z
_atom_site_occupancy
Pa1 0.0000 0.0000 0.2500 1
Hg1 0.0000 0.5000 0.2500 1
S1 0.2174 0.0782 0.0000 1
I1 0.2219 0.1493 0.5000 1
# Uncorrected formation energy = -0.736 eV/atom

***

No. 2
# ZrCd8, relaxed, DFT PBE
data_ZrCd8
_symmetry_space_group_name_H-M 'I 4/m m m'
_symmetry_Int_Tables_number 139
_symmetry_space_group_name_Hall '-I 4 2'
_cell_length_a 12.3243
_cell_length_b 12.3243
_cell_length_c 3.0049
_cell_angle_alpha 90.00
_cell_angle_beta 90.00
_cell_angle_gamma 90.00
loop_
_atom_site_label
_atom_site_fract_x
_atom_site_fract_y
_atom_site_fract_z
_atom_site_occupancy
Zr1 0.0000 0.0000 0.0000 1
Cd1 0.0000 0.3406 0.0000 1
Cd2 0.1725 0.1725 0.0000 1
# Energy of formation from the pure elements = 196 kJ/mol of formula units
# Energy above the lowest structure with this stoichiometry = 0.221 eV per atom

***

No. 3
# Tl2ReAg, relaxed, DFT PBE
data_Tl2ReAg
_symmetry_space_group_name_H-M 'P m m m'
_symmetry_Int_Tables_number 47
_symmetry_space_group_name_Hall '-P 2 2'
_cell_length_a 2.9462
_cell_length_b 5.0055
_cell_length_c 5.6653
_cell_angle_alpha 90.00
_cell_angle_beta 90.00
_cell_angle_gamma 90.00
loop_
_atom_site_label
_atom_site_fract_x
_atom_site_fract_y
_atom_site_fract_z
_atom_site_occupancy
Tl1 0.0000 0.0000 0.0000 1
Tl2 0.5000 0.0000 0.5000 1
Re1 0.0000 0.5000 0.5000 1
Ag1 0.5000 0.5000 0.0000 1
# Energy of formation from the pure elements = 351 kJ/mol of formula units
# Energy above the lowest structure with this stoichiometry = 0.172 eV per atom

***

No. 4
# GdTmZnCo, relaxed, DFT PBE
data_GdTmZnCo
_symmetry_space_group_name_H-M 'F -4 3 m'
_symmetry_Int_Tables_number 216
_symmetry_space_group_name_Hall 'F -4 2 3'
_cell_length_a 6.8819
_cell_length_b 6.8819
_cell_length_c 6.8819
_cell_angle_alpha 90.00
_cell_angle_beta 90.00
_cell_angle_gamma 90.00
loop_
_atom_site_label
_atom_site_fract_x
_atom_site_fract_y
_atom_site_fract_z
_atom_site_occupancy
Gd1 0.0000 0.0000 0.0000 1
Tm1 0.0000 0.0000 0.5000 1
Zn1 0.2500 0.2500 0.2500 1
Co1 0.2500 0.2500 0.7500 1
# Energy of formation from the pure elements = -89 kJ/mol of formula units

***

| no. | total magnetization (μB/f.u.) |
| --- | --- |
| 1 | 0.0 |
| 2 | 0.3 |
| 3 | 0.0 |
| 4 | 6.9 |